(1)
LiY2ErTe5 | PBE | relaxed

```
LiY2ErTe5
1.0
2.159 -9.206 0.000
2.159 9.206 0.000
0.000 0.000 13.181
Li Y Er Te
2 4 2 10
Direct
0.058 0.942 0.500
0.942 0.058 0.000
0.373 0.627 0.334
0.395 0.605 0.721
0.605 0.395 0.221
0.627 0.373 0.834
0.303 0.697 0.045
0.697 0.303 0.545
0.002 0.998 0.820
0.138 0.862 0.035
0.189 0.811 0.381
0.218 0.782 0.705
0.454 0.546 0.111
0.546 0.454 0.611
0.782 0.218 0.205
0.811 0.189 0.881
0.862 0.138 0.535
0.998 0.002 0.320
```

Results
**Total moment**: 0.0000 μB per atom
**Formation energy (no corrections)**: -1.24 eV/atom

***

(2)
Cs2TlIn3Cl6 | PBE | relaxed

```
Cs2TlIn3Cl6
1.0
10.253 -2.368 0.000
10.253 2.368 0.000
-1.875 0.000 9.220
Cs Tl In Cl
2 1 3 6
Direct
0.168 0.168 0.317
0.832 0.832 0.683
0.500 0.500 0.000
0.159 0.159 0.823
0.500 0.500 0.500
0.841 0.841 0.177
0.007 0.007 0.754
0.342 0.342 0.420
0.342 0.342 0.954
0.658 0.658 0.046
0.658 0.658 0.580
0.993 0.993 0.246
```

Results
**Total moment**: 0.0000 μB per atom
**Formation energy (no corrections)**: -1.21 eV/atom

***

(3)
Re2Mo3W | PBE | relaxed

```
Re2Mo3W
1.0
6.983 -2.650 0.000
6.983 2.650 0.000
-0.806 0.000 5.175
Re Mo W
4 6 2
Direct
0.072 0.258 0.061
0.258 0.072 0.561
0.742 0.928 0.439
0.928 0.742 0.939
0.245 0.417 0.424
0.293 0.707 0.750
0.417 0.245 0.924
0.583 0.755 0.076
0.707 0.293 0.250
0.755 0.583 0.576
0.210 0.790 0.250
0.790 0.210 0.750
```

Results
**Total moment**: 0.0000 μB per atom
**E_form**: 6.67 kcal/mol of atoms

***

(4)
Na2CdBi | PBE | relaxed

```
Na2CdBi
1.0
4.690 0.000 0.000
0.000 4.690 0.000
0.000 0.000 4.952
Na Cd Bi
2 1 1
Direct
0.000 0.500 0.000
0.500 0.000 0.000
0.000 0.000 0.500
0.500 0.500 0.500
```

Results
**Total moment**: 0.0000 μB per atom
**E_form**: -4.51 kcal/mol of atoms

***

(5)
AcSnAu3 | PBE | relaxed

```
AcSnAu3
1.0
9.393 0.000 0.000
0.000 5.327 0.000
0.000 0.000 9.698
Ac Sn Au
4 4 12
Direct
0.231 0.250 0.000
0.269 0.750 0.500
0.731 0.250 0.500
0.769 0.750 0.000
0.085 0.250 0.342
0.415 0.750 0.842
0.585 0.250 0.158
0.915 0.750 0.658
0.081 0.250 0.633
0.110 0.750 0.151
0.115 0.750 0.855
0.385 0.250 0.355
0.390 0.250 0.651
0.419 0.750 0.133
0.581 0.250 0.867
0.610 0.750 0.349
0.615 0.750 0.645
0.885 0.250 0.145
0.890 0.250 0.849
0.919 0.750 0.367
```

Results
**Total moment**: 0.0000 μB per atom
**E_form**: -13.63 kcal/mol of atoms

***

(6)
CsNiRu3 | PBE | relaxed

```
CsNiRu3
1.0
4.671 0.000 0.000
0.000 4.671 0.000
0.000 0.000 4.671
Cs Ni Ru
1 1 3
Direct
0.000 0.000 0.000
0.500 0.500 0.500
0.000 0.500 0.500
0.500 0.000 0.500
0.500 0.500 0.000
```

Results
**Total moment**: 0.0002 μB per atom
**E_form**: 42.09 kcal/mol of atoms

***

(7)
TaTi3V | PBE | relaxed

```
TaTi3V
1.0
4.492 0.000 0.000
0.000 4.492 0.000
0.000 0.000 4.492
Ta Ti V
1 3 1
Direct
0.000 0.000 0.000
0.000 0.500 0.500
0.500 0.000 0.500
0.500 0.500 0.000
0.500 0.500 0.500
```

Results
**Total moment**: 0.0000 μB per atom
**E_form**: 17.75 kcal/mol of atoms

***

(8)
K8Rb3H | PBE | relaxed

```
K8Rb3H
1.0
13.014 0.000 0.000
-6.507 11.270 0.000
0.000 0.000 11.178
K Rb H
16 6 2
Direct
0.000 0.000 0.159
0.000 0.000 0.659
0.103 0.552 0.198
0.225 0.450 0.500
0.225 0.775 0.500
0.333 0.667 0.840
0.448 0.552 0.198
0.448 0.897 0.198
0.450 0.225 0.000
0.550 0.775 0.500
0.552 0.103 0.698
0.552 0.448 0.698
0.667 0.333 0.340
0.775 0.225 0.000
0.775 0.550 0.000
0.897 0.448 0.698
0.148 0.297 0.906
0.148 0.852 0.906
0.297 0.148 0.406
0.703 0.852 0.906
0.852 0.148 0.406
0.852 0.703 0.406
0.333 0.667 0.351
0.667 0.333 0.851
```

Results
**Total moment**: 0.0000 μB per atom
**Total DFT energy (no corrections)**: -1.218 eV/atom

***

(9)
MnTe2As2Pd7 | PBE | relaxed

```
MnTe2As2Pd7
1.0
2.797 -2.798 0.000
2.797 2.798 0.000
-2.772 0.000 14.819
Mn Te As Pd
1 2 2 7
Direct
0.000 0.000 0.000
0.208 0.208 0.417
0.792 0.792 0.583
0.384 0.384 0.766
0.616 0.616 0.234
0.067 0.567 0.134
0.300 0.300 0.600
0.433 0.933 0.866
0.500 0.500 0.000
0.567 0.067 0.134
0.700 0.700 0.400
0.933 0.433 0.866
```

Results
**Total moment**: 0.3542 μB per atom
**Formation energy (no corrections)**: -0.32 eV/atom

***

(10)
ScV3N | PBE | relaxed

```
ScV3N
1.0
4.052 0.000 0.000
0.000 4.052 0.000
0.000 0.000 4.052
Sc V N
1 3 1
Direct
0.000 0.000 0.000
0.000 0.500 0.500
0.500 0.000 0.500
0.500 0.500 0.000
0.500 0.500 0.500
```

Results
**Total moment**: 0.0004 μB per atom
**Formation energy (no corrections)**: -0.42 eV/atom

***

(11)
TmThB2O8 | PBE | relaxed

```
TmThB2O8
1.0
-2.353 2.353 5.693
2.353 -2.353 5.693
2.353 2.353 -5.693
Tm Th B O
1 1 2 8
Direct
0.000 0.000 0.000
0.750 0.250 0.500
0.250 0.750 0.500
0.500 0.500 0.000
0.076 0.725 0.158
0.082 0.924 0.648
0.189 0.319 0.642
0.275 0.434 0.352
0.453 0.811 0.130
0.566 0.918 0.842
0.677 0.547 0.358
0.681 0.323 0.870
```

Results
**Total moment**: 0.2526 μB per atom
**Formation energy (no corrections)**: -2.48 eV/atom

***

(12)
HgTeAu2 | PBE | relaxed

```
HgTeAu2
1.0
3.227 0.000 0.000
0.000 4.092 0.000
0.000 0.000 6.974
Hg Te Au
1 1 2
Direct
0.000 0.000 0.000
0.500 0.000 0.500
0.500 0.500 0.208
0.500 0.500 0.792
```

Results
**Total moment**: 0.0000 μB per atom
**Formation energy (no corrections)**: 0.05 eV/atom